This record from Alexandria describes a relaxed structure of Mg5Au. The functional is PBE-GGA.

a = 5.3313 Å, b = 5.3313 Å, c = 14.9395 Å
α = 90.00°, β = 90.00°, γ = 120.00°
Closest atoms and distances in Å follow each position.
Space group R32 (No. 155, hexagonal axes)
Asymmetric unit:
Mg1 0.0000 0.0000 0.1647 (multiplicity 6)  9 Mg 3.06-3.08, 3 Au 3.08
Mg2 0.0000 0.6540 0.0000 (multiplicity 9)  10 Mg 3.02-3.19, 2 Au 3.04
Au1 0.0000 0.0000 0.5000 (multiplicity 3)  12 Mg 3.04-3.08

Output
Its crystal system is trigonal. Its formation energy is -19.7 kJ per mole of atoms. The calculation puts the energy at -2.080 eV per atom.


This record from Alexandria describes a relaxed structure of Mg2Au3. The functional is PBE-GGA.

a = 3.4638 Å, b = 3.4638 Å, c = 15.0281 Å
α = 90.00°, β = 90.00°, γ = 90.00°
Closest atoms and distances in Å follow each position.
Space group I4/mmm (No. 139)
Asymmetric unit:
Mg1 0.0000 0.0000 0.1051 (multiplicity 4)  9 Au 2.80-3.00
Au1 0.0000 0.0000 0.3046 (multiplicity 4)  5 Mg 2.80-3.00, 5 Au 2.94-2.95
Au2 0.0000 0.0000 0.5000 (multiplicity 2)  8 Mg 2.91, 2 Au 2.94

Output
Its crystal system is tetragonal. Its formation energy is -51.0 kJ per mole of atoms. The calculation puts the energy at -3.133 eV per atom.


This record from Alexandria describes a relaxed structure of Mg2Au3. The functional is PBE-GGA.

a = 4.5018 Å, b = 4.5018 Å, c = 5.6534 Å
α = 90.00°, β = 90.00°, γ = 120.00°
Closest atoms and distances in Å follow each position.
Space group P-3m1 (No. 164)
Asymmetric unit:
Mg1 0.3333 0.6667 0.3215 (multiplicity 2)  8 Au 2.73-2.93
Au1 0.0000 0.0000 0.5000 (multiplicity 1)  6 Mg 2.79
Au2 0.3333 0.6667 0.8389 (multiplicity 2)  5 Mg 2.73-2.93

Output
Its crystal system is trigonal. Its formation energy is -38.3 kJ per mole of atoms. The calculation puts the energy at -3.001 eV per atom.


The lowest formation energy belongs to which entry?
number 2